This record from Alexandria via LeMat-Bulk describes a crystal of PrSiPd relaxed with PBEsol. The functional is meta-GGA SCAN.

```
PrSiPd
1.0
5.805 0.000 0.000
0.000 5.736 0.000
-3.320 0.000 7.179
Pr Si Pd
4 4 4
Direct
0.206 0.132 0.378
0.206 0.368 0.878
0.794 0.632 0.122
0.794 0.868 0.622
0.206 0.631 0.535
0.206 0.869 0.035
0.794 0.131 0.965
0.794 0.369 0.465
0.401 0.608 0.303
0.401 0.892 0.803
0.599 0.108 0.197
0.599 0.392 0.697
```

Computed properties:
Size of the total moment (μB/atom): 0.00
Uncorrected energy (eV per atom): -29.618
E_form (uncorrected) (eV per atom): -0.91
Fermi-level density of states (states/eV/cell): 7.22

---

This record from Alexandria via LeMat-Bulk describes a crystal of PrSnPd relaxed with PBEsol. The functional is meta-GGA SCAN.

```
PrSnPd
1.0
7.464 0.000 0.000
0.000 4.666 0.000
0.000 0.000 7.916
Pr Sn Pd
4 4 4
Direct
0.012 0.250 0.198
0.488 0.750 0.698
0.512 0.250 0.302
0.988 0.750 0.802
0.185 0.250 0.587
0.315 0.750 0.087
0.685 0.250 0.913
0.815 0.750 0.413
0.199 0.750 0.414
0.301 0.250 0.914
0.699 0.750 0.086
0.801 0.250 0.586
```

Computed properties:
Size of the total moment (μB/atom): 0.00
DFT formation energy (eV per atom): -1.02
Uncorrected energy (eV per atom): -38.359
Fermi-level density of states (states/eV/cell): 7.86

---

This record from Alexandria via LeMat-Bulk describes a crystal of Pr3Sn6Pd4 relaxed with PBEsol. The functional is meta-GGA SCAN.

```
Pr3Sn6Pd4
1.0
16.753 0.000 0.000
0.000 4.586 0.000
0.000 0.000 15.440
Pr Sn Pd
12 24 16
Direct
0.117 0.250 0.247
0.142 0.750 0.616
0.150 0.250 0.982
0.350 0.750 0.482
0.358 0.250 0.116
0.383 0.750 0.747
0.617 0.250 0.253
0.642 0.750 0.884
0.650 0.250 0.518
0.850 0.750 0.018
0.858 0.250 0.384
0.883 0.750 0.753
0.025 0.750 0.920
0.053 0.250 0.461
0.056 0.250 0.769
0.172 0.750 0.392
0.187 0.750 0.835
0.207 0.750 0.118
0.293 0.250 0.618
0.313 0.250 0.335
0.328 0.250 0.892
0.444 0.750 0.269
0.447 0.750 0.961
0.475 0.250 0.420
0.525 0.750 0.580
0.553 0.250 0.039
0.556 0.250 0.731
0.672 0.750 0.108
0.687 0.750 0.665
0.707 0.750 0.382
0.793 0.250 0.882
0.813 0.250 0.165
0.828 0.250 0.608
0.944 0.750 0.231
0.947 0.750 0.539
0.975 0.250 0.080
0.013 0.750 0.380
0.048 0.750 0.100
0.210 0.250 0.472
0.216 0.250 0.765
0.284 0.750 0.265
0.290 0.750 0.972
0.452 0.250 0.600
0.487 0.250 0.880
0.513 0.750 0.120
0.548 0.750 0.400
0.710 0.250 0.028
0.716 0.250 0.735
0.784 0.750 0.235
0.790 0.750 0.528
0.952 0.250 0.900
0.987 0.250 0.620
```

Computed properties:
Size of the total moment (μB/atom): 0.00
DFT formation energy (eV per atom): -0.87
Uncorrected energy (eV per atom): -37.534
Fermi-level density of states (states/eV/cell): 18.76

---

This record from Alexandria via LeMat-Bulk describes a crystal of PrSnPd relaxed with PBEsol. The functional is meta-GGA SCAN.

```
PrSnPd
1.0
7.554 0.000 0.000
-3.777 6.542 0.000
0.000 0.000 4.114
Pr Sn Pd
3 3 3
Direct
0.000 0.413 0.000
0.413 0.000 0.000
0.587 0.587 0.000
0.000 0.750 0.500
0.250 0.250 0.500
0.750 0.000 0.500
0.000 0.000 0.000
0.333 0.667 0.500
0.667 0.333 0.500
```

Computed properties:
Size of the total moment (μB/atom): 0.00
DFT formation energy (eV per atom): -1.02
Uncorrected energy (eV per atom): -38.356
Fermi-level density of states (states/eV/cell): 2.57

---

This record from Alexandria via LeMat-Bulk describes a crystal of RbSn2PdPt relaxed with PBEsol. The functional is meta-GGA SCAN.

```
RbSn2PdPt
1.0
5.701 0.000 0.000
0.000 5.701 0.000
0.000 0.000 4.762
Rb Sn Pd Pt
1 2 1 1
Direct
0.000 0.000 0.000
0.000 0.500 0.000
0.500 0.000 0.000
0.000 0.000 0.500
0.500 0.500 0.500
```

Computed properties:
Size of the total moment (μB/atom): 0.00
DFT formation energy (eV per atom): 1.97
Uncorrected energy (eV per atom): -37.142
Fermi-level density of states (states/eV/cell): 3.64

---

This record from Alexandria via LeMat-Bulk describes a crystal of PdPt2Rh relaxed with PBEsol. The functional is meta-GGA SCAN.

```
PdPt2Rh
1.0
6.166 0.000 0.000
0.000 6.166 0.000
0.000 0.000 6.166
Pd Pt Rh
4 8 4
Direct
0.000 0.000 0.000
0.000 0.500 0.500
0.500 0.000 0.500
0.500 0.500 0.000
0.250 0.250 0.250
0.250 0.250 0.750
0.250 0.750 0.250
0.250 0.750 0.750
0.750 0.250 0.250
0.750 0.250 0.750
0.750 0.750 0.250
0.750 0.750 0.750
0.000 0.000 0.500
0.000 0.500 0.000
0.500 0.000 0.000
0.500 0.500 0.500
```

Computed properties:
Size of the total moment (μB/atom): 0.00
DFT formation energy (eV per atom): 0.15
Uncorrected energy (eV per atom): -51.588
Fermi-level density of states (states/eV/cell): 17.18

---

This record from Alexandria via LeMat-Bulk describes a crystal of Pd2RuPtS relaxed with PBEsol. The functional is meta-GGA SCAN.

```
Pd2RuPtS
1.0
4.816 0.000 0.000
0.000 4.816 0.000
0.000 0.000 4.577
Pd Ru Pt S
2 1 1 1
Direct
0.000 0.500 0.000
0.500 0.000 0.000
0.000 0.000 0.500
0.000 0.000 0.000
0.500 0.500 0.500
```

Computed properties:
Size of the total moment (μB/atom): 0.29
Uncorrected energy (eV per atom): -34.589
E_form (uncorrected) (eV per atom): 1.45
Fermi-level density of states (states/eV/cell): 5.98

---

This record from Alexandria via LeMat-Bulk describes a crystal of SnPdRuPt2 relaxed with PBEsol. The functional is meta-GGA SCAN.

```
SnPdRuPt2
1.0
4.836 0.000 0.000
0.000 4.836 0.000
0.000 0.000 4.464
Sn Pd Ru Pt
1 1 1 2
Direct
0.000 0.000 0.000
0.500 0.500 0.500
0.500 0.500 0.000
0.000 0.500 0.500
0.500 0.000 0.500
```

Computed properties:
Size of the total moment (μB/atom): 0.00
DFT formation energy (eV per atom): 1.37
Uncorrected energy (eV per atom): -47.409
Fermi-level density of states (states/eV/cell): 4.50

---

This record from Alexandria via LeMat-Bulk describes a crystal of PdPtS2 relaxed with PBEsol. The functional is meta-GGA SCAN.

```
PdPtS2
1.0
5.419 0.000 0.000
0.000 5.419 0.000
0.000 0.000 10.336
Pd Pt S
4 4 8
Direct
0.000 0.000 0.000
0.000 0.500 0.250
0.500 0.000 0.750
0.500 0.500 0.500
0.000 0.000 0.500
0.000 0.500 0.750
0.500 0.000 0.250
0.500 0.500 0.000
0.245 0.250 0.625
0.250 0.745 0.875
0.250 0.755 0.375
0.255 0.250 0.125
0.745 0.750 0.125
0.750 0.245 0.375
0.750 0.255 0.875
0.755 0.750 0.625
```

Computed properties:
Size of the total moment (μB/atom): 0.00
Uncorrected energy (eV per atom): -30.653
E_form (uncorrected) (eV per atom): -0.10
Fermi-level density of states (states/eV/cell): 13.47

---

This record from Alexandria via LeMat-Bulk describes a crystal of TiSbPd2Pt relaxed with PBEsol. The functional is meta-GGA SCAN.

```
TiSbPd2Pt
1.0
4.477 0.000 0.000
0.000 4.477 0.000
0.000 0.000 5.039
Ti Sb Pd Pt
1 1 2 1
Direct
0.000 0.000 0.000
0.000 0.000 0.500
0.000 0.500 0.000
0.500 0.000 0.000
0.500 0.500 0.500
```

Computed properties:
Size of the total moment (μB/atom): 0.00
Uncorrected energy (eV per atom): -37.062
E_form (uncorrected) (eV per atom): 0.74
Fermi-level density of states (states/eV/cell): 2.17

---

This record from Alexandria via LeMat-Bulk describes a crystal of ScPdPt3 relaxed with PBEsol. The functional is meta-GGA SCAN.

```
ScPdPt3
1.0
4.645 0.000 0.000
0.000 4.645 0.000
0.000 0.000 4.645
Sc Pd Pt
1 1 3
Direct
0.000 0.000 0.000
0.500 0.500 0.500
0.000 0.000 0.500
0.000 0.500 0.000
0.500 0.000 0.000
```

Computed properties:
Size of the total moment (μB/atom): 0.00
DFT formation energy (eV per atom): 0.87
Uncorrected energy (eV per atom): -50.649
Fermi-level density of states (states/eV/cell): 2.93

---

This record from Alexandria via LeMat-Bulk describes a crystal of ScTlPdPt2 relaxed with PBEsol. The functional is meta-GGA SCAN.

```
ScTlPdPt2
1.0
4.820 0.000 0.000
0.000 4.820 0.000
0.000 0.000 4.726
Sc Tl Pd Pt
1 1 1 2
Direct
0.000 0.000 0.000
0.500 0.500 0.500
0.000 0.000 0.500
0.000 0.500 0.000
0.500 0.000 0.000
```

Computed properties:
Size of the total moment (μB/atom): 0.00
DFT formation energy (eV per atom): 0.39
Uncorrected energy (eV per atom): -51.561
Fermi-level density of states (states/eV/cell): 2.30